*1*
DFT (SCAN) results for Nb3Au at its PBEsol-relaxed geometry.

Results
- Volume: 17.331 Å³ per atom
- Crystal system: orthorhombic
- DOS at the Fermi energy: 5.524 states/eV/cell

abc: 3.4289 4.3624 9.2691
angles: 90.00 90.00 90.00
Closest atoms and distances in Å follow each position.
Space group Cmmm (No. 65)
Unique sites:
Nb  0.0000  0.0000  0.0000  8 Nb 2.77-2.90
Nb  0.0000  0.5000  0.2521  6 Nb 2.77-2.90, 2 Au 2.87
Au  0.0000  0.0000  0.5000  4 Au 2.77, 4 Nb 2.87

***

*2*
DFT (SCAN) results for Nb3Au at its PBEsol-relaxed geometry.

Results
- Volume: 17.437 Å³ per atom
- Crystal system: cubic
- DOS at the Fermi energy: 11.779 states/eV/cell

abc: 5.1863 5.1863 5.1863
angles: 90.00 90.00 90.00
Closest atoms and distances in Å follow each position.
Space group Pm-3n (No. 223)
Unique sites:
Nb  0.0000  0.2500  0.5000  2 Nb 2.59, 4 Au 2.90
Au  0.0000  0.0000  0.0000  12 Nb 2.90

***

Looking at the structures above, *2* is most stable, and the difference to the next one is 7.0 kJ/mol of atoms.